A plane-wave DFT calculation with GGA-PBE was carried out for crystalline BiAsCSe2 at its relaxed geometry.

Summary:
N(E_F) = 0.70 states/eV/atom
DFT total energy = -20.18 eV per cell
Space group = P4/mmm (123)
Theoretical density = 7.93 g/cm³
ΔE_f (raw) = 0.9093 eV per atom

extended XYZ file:
```
5
Lattice="4.5995 0.0000 0.0000 0.0000 4.5995 0.0000 0.0000 0.0000 4.4894" Properties=species:S:1:pos:R:3 pbc="T T T"
Bi 0.0000 0.0000 0.0000
As 2.2998 2.2998 0.0000
C 2.2998 2.2998 2.2447
Se 0.0000 2.2998 2.2447
Se 2.2998 0.0000 2.2447
```

***

A plane-wave DFT calculation with GGA-PBE was carried out for crystalline SnBiAsC2 at its relaxed geometry.

Summary:
N(E_F) = 0.74 states/eV/atom
DFT total energy = -20.92 eV per cell
Space group = P4/mmm (123)
Theoretical density = 6.87 g/cm³
Energy of formation from the pure elements = 2.012 eV/atom

extended XYZ file:
```
5
Lattice="4.3629 0.0000 0.0000 0.0000 4.3629 0.0000 0.0000 0.0000 5.4202" Properties=species:S:1:pos:R:3 pbc="T T T"
Sn 0.0000 0.0000 0.0000
Bi 2.1815 2.1815 2.7101
As 0.0000 0.0000 2.7101
C 0.0000 2.1815 0.0000
C 2.1815 0.0000 0.0000
```

***

Q: What is the formula in the first record?
A: BiAsCSe2